The following is a PBE calculation of an optimized crystal structure of CePaPdN3, from the Alexandria database.

Properties
**Volume**: 15.53 Å³ per atom
**Space group**: P2_1/m (11)
**Formation energy from raw total energies**: -0.92 eV/atom
**N(E_F)**: 2.8 states/eV/f.u.

Lattice parameters (Å, degrees): 3.5630 7.2793 7.3176 100.98 90.00 90.00
Closest atoms and distances in Å follow each position.
Sites, in units of the cell vectors:
1 Pa 0.2500 0.6562 0.1805  4 N 2.20-2.44
2 N 0.2500 0.5768 0.8745  3 Pa 2.20-2.44
3 Pd 0.2500 0.1257 0.5606  3 N 2.12-2.35
4 Pa 0.7500 0.3438 0.8195  4 N 2.20-2.44
5 N 0.7500 0.8777 0.1187  1 Ce 2.26, 1 Pd 2.35, 2 Pa 2.50
6 Ce 0.2500 0.1682 0.1962  1 N 2.26
7 Pd 0.7500 0.8743 0.4394  3 N 2.12-2.35
8 N 0.2500 0.1223 0.8813  1 Ce 2.26, 1 Pd 2.35, 2 Pa 2.50
9 N 0.7500 0.2611 0.5019  2 Pd 2.12, 1 Pa 2.29
10 N 0.7500 0.4232 0.1255  3 Pa 2.20-2.44
11 Ce 0.7500 0.8318 0.8038  1 N 2.26
12 N 0.2500 0.7389 0.4981  2 Pd 2.12, 1 Pa 2.29